# 1
First-principles (PBE) data for a geometry-optimized CrIr4Cl structure, as listed in the Alexandria database.

a = 5.2464 Å, b = 5.2464 Å, c = 5.2464 Å
α = 60.00°, β = 60.00°, γ = 60.00°
With the nearest neighbours (Å) after each atom.
Element x y z (fractional)
Cr 0.0000 0.0000 0.0000  12 Ir 3.08, 4 Cl 3.21
Ir 0.6251 0.1246 0.6251  6 Ir 2.62-2.63
Ir 0.6251 0.6251 0.1246  6 Ir 2.62-2.63
Ir 0.1246 0.6251 0.6251  6 Ir 2.62-2.63
Ir 0.6251 0.6251 0.6251  6 Ir 2.62-2.63
Cl 0.2500 0.2500 0.2500  12 Ir 3.08, 4 Cr 3.21

Properties
SG ... F-43m
ΔE_f (raw) ... 871 meV per atom

***

# 2
First-principles (PBE) data for a geometry-optimized Ca3MgTl3 structure, as listed in the Alexandria database.

a = 7.1065 Å, b = 7.1065 Å, c = 9.0290 Å
α = 92.98°, β = 92.98°, γ = 108.05°
With the nearest neighbours (Å) after each atom.
Element x y z (fractional)
Ca 0.2359 0.7641 0.0000  6 Tl 3.31-3.48, 2 Mg 3.47
Ca 0.7641 0.2359 0.0000  6 Tl 3.31-3.48, 2 Mg 3.47
Ca 0.1771 0.8229 0.5000  6 Tl 3.14-3.34
Ca 0.8229 0.1771 0.5000  6 Tl 3.14-3.34
Ca 0.3767 0.3767 0.6559  3 Tl 3.26-3.36, 1 Mg 3.49, 1 Ca 3.63
Ca 0.6233 0.6233 0.3441  3 Tl 3.26-3.36, 1 Mg 3.49, 1 Ca 3.63
Tl 0.0289 0.0289 0.7947  2 Mg 2.99-3.31, 2 Tl 3.24, 5 Ca 3.26-3.34
Tl 0.8725 0.5543 0.7142  1 Mg 2.96, 2 Ca 3.14-3.21, 1 Tl 3.24
Tl 0.4457 0.1275 0.2858  1 Mg 2.96, 2 Ca 3.14-3.21, 1 Tl 3.24
Tl 0.1275 0.4457 0.2858  1 Mg 2.96, 2 Ca 3.14-3.21, 1 Tl 3.24
Tl 0.9711 0.9711 0.2053  2 Mg 2.99-3.31, 2 Tl 3.24, 5 Ca 3.26-3.34
Tl 0.5543 0.8725 0.7142  1 Mg 2.96, 2 Ca 3.14-3.21, 1 Tl 3.24
Mg 0.6965 0.6965 0.9695  3 Tl 2.96-2.99
Mg 0.3035 0.3035 0.0305  3 Tl 2.96-2.99

Properties
Formation enthalpy at 0 K ... -0.26 eV per atom
SG ... C2/m

***

# 3
First-principles (PBE) data for a geometry-optimized Ca2GdCu structure, as listed in the Alexandria database.

a = 3.5798 Å, b = 3.5798 Å, c = 9.2585 Å
α = 90.00°, β = 90.00°, γ = 90.00°
With the nearest neighbours (Å) after each atom.
Element x y z (fractional)
Gd 0.5000 0.5000 0.5000  4 Gd 3.58, 8 Ca 3.82
Ca 0.0000 0.0000 0.8094  4 Cu 3.09
Ca 0.0000 0.0000 0.1906  4 Cu 3.09
Cu 0.5000 0.5000 0.0000  8 Ca 3.09

Properties
Formation enthalpy at 0 K ... 0.04 eV per atom
SG ... P4/mmm

***

# 4
First-principles (PBE) data for a geometry-optimized Pm7SiSn2 structure, as listed in the Alexandria database.

a = 5.3169 Å, b = 5.3169 Å, c = 12.7037 Å
α = 90.00°, β = 90.00°, γ = 120.00°
With the nearest neighbours (Å) after each atom.
Element x y z (fractional)
Pm 0.6667 0.3333 0.1043  1 Sn 3.11, 4 Pm 3.14-3.43, 3 Si 3.34
Pm 0.0000 0.0000 0.2481  1 Si 3.15, 3 Sn 3.33
Pm 0.3333 0.6667 0.9831  3 Si 3.08, 3 Pm 3.43
Pm 0.6667 0.3333 0.8569  8 Pm 3.14-3.46
Pm 0.3333 0.6667 0.4304  4 Sn 3.24-3.43
Pm 0.0000 0.0000 0.7512  3 Sn 3.14, 1 Si 3.16, 3 Pm 3.35
Pm 0.6667 0.3333 0.5933  4 Sn 3.11-3.36, 1 Pm 3.35
Sn 0.6667 0.3333 0.3488  8 Pm 3.11-3.33
Sn 0.3333 0.6667 0.7001  7 Pm 3.14-3.43
Si 0.0000 0.0000 0.0003  8 Pm 3.08-3.34

Properties
SG ... P3m1
ΔE_f (raw) ... -339 meV per atom

***

# 5
First-principles (PBE) data for a geometry-optimized Al2CoPb structure, as listed in the Alexandria database.

a = 3.1198 Å, b = 3.1198 Å, c = 7.5614 Å
α = 90.00°, β = 90.00°, γ = 90.00°
With the nearest neighbours (Å) after each atom.
Element x y z (fractional)
Co 0.0000 0.0000 0.4335  4 Al 2.44
Pb 0.5000 0.5000 0.7041  4 Co 3.01, 1 Al 3.09, 4 Pb 3.12
Al 0.0000 0.0000 0.0666  1 Co 2.77, 4 Al 2.81
Al 0.5000 0.5000 0.2958  4 Co 2.44

Properties
Formation enthalpy at 0 K ... 0.11 eV per atom
SG ... P4mm

***

# 6
First-principles (PBE) data for a geometry-optimized Sr5Hg4Sb structure, as listed in the Alexandria database.

a = 4.0461 Å, b = 4.0461 Å, c = 19.8414 Å
α = 90.00°, β = 90.00°, γ = 90.00°
With the nearest neighbours (Å) after each atom.
Element x y z (fractional)
Hg 0.0000 0.0000 0.4011  8 Sr 3.47-3.50
Hg 0.0000 0.0000 0.7992  8 Sr 3.47-3.53
Hg 0.0000 0.0000 0.2008  8 Sr 3.47-3.53
Hg 0.0000 0.0000 0.5989  8 Sr 3.47-3.50
Sr 0.5000 0.5000 0.7006  8 Hg 3.47-3.50
Sr 0.5000 0.5000 0.5000  8 Hg 3.47
Sr 0.5000 0.5000 0.2994  8 Hg 3.47-3.50
Sr 0.5000 0.5000 0.9038  4 Sb 3.44, 4 Hg 3.53, 1 Sr 3.82
Sr 0.5000 0.5000 0.0962  4 Sb 3.44, 4 Hg 3.53, 1 Sr 3.82
Sb 0.0000 0.0000 0.0000  8 Sr 3.44

Properties
SG ... P4/mmm
ΔE_f (raw) ... -605 meV per atom

***

# 7
First-principles (PBE) data for a geometry-optimized AlAg3 structure, as listed in the Alexandria database.

a = 5.4690 Å, b = 5.4690 Å, c = 5.4690 Å
α = 147.47°, β = 127.67°, γ = 62.99°
With the nearest neighbours (Å) after each atom.
Element x y z (fractional)
Ag 0.7681 0.7373 0.0308  2 Al 2.74, 9 Ag 2.87-3.06
Ag 0.1304 0.5000 0.6304  4 Al 2.81-2.90, 8 Ag 2.93-3.06
Ag 0.2936 0.2627 0.0308  2 Al 2.74, 9 Ag 2.87-3.06
Al 0.6413 0.0000 0.6413  8 Ag 2.74-2.90, 2 Al 3.06

Properties
Formation enthalpy at 0 K ... -0.04 eV per atom
SG ... Imm2

***

# 8
First-principles (PBE) data for a geometry-optimized P2RuSeN structure, as listed in the Alexandria database.

a = 4.7856 Å, b = 2.9320 Å, c = 5.5762 Å
α = 90.00°, β = 108.67°, γ = 90.00°
With the nearest neighbours (Å) after each atom.
Element x y z (fractional)
Ru 0.8168 0.5000 0.8114  4 P 2.38-2.46, 2 Se 2.43-2.47
N 0.3682 0.0000 0.2403  2 P 1.58-1.61
Se 0.2765 0.5000 0.7123  2 Ru 2.43-2.47
P 0.0128 0.0000 0.1613  1 N 1.61
P 0.6906 0.0000 0.4370  1 N 1.58

Properties
SG ... Pm
ΔE_f (raw) ... -13 meV per atom